MgMn2Tc | GGA-PBE | optimized geometry Values from VASP.

Cell and atoms, written as Quantum ESPRESSO input:
```
&SYSTEM
  ibrav = 0, nat = 4, ntyp = 3
/
ATOMIC_SPECIES
Mg 24.30 Mg.upf
Mn 54.94 Mn.upf
Tc 98.00 Tc.upf
CELL_PARAMETERS angstrom
4.750 -0.175 -0.175
1.833 4.385 0.175
-2.867 -2.768 2.596
ATOMIC_POSITIONS crystal
Mg 0.250 0.750 0.500
Mn 0.515 0.515 0.000
Tc 0.750 0.250 0.500
Mn 0.985 0.985 0.000
```

Values from the calculation:
SG = Immm
Total DFT energy (no corrections) = -0.5342 Ry per atom
Formation energy from the elements = 307 meV/atom
Total magnetization = 3.9 Bohr magnetons per cell